{
  "formula": "LaTeS2Cl",
  "functional": "PBE-GGA",
  "state": "relaxed",
  "lattice_angstrom": [[5.1904, 0.0000, 0.0000], [0.0000, 5.1904, 0.0000], [0.0000, 0.0000, 5.2757]],
  "species": ["La", "Te", "S", "S", "Cl"],
  "frac_coords": [[0.0000, 0.0000, 0.0000], [0.5000, 0.5000, 0.5000], [0.0000, 0.5000, 0.5000], [0.5000, 0.0000, 0.5000], [0.5000, 0.5000, 0.0000]],
  "e_form_raw_mev_per_atom": -465.2,
  "crystal_system": "tetragonal",
  "space_group": "P4/mmm"
}